Density functional theory data (PBE-GGA) for a relaxed structure of Li2AlMo.

```
Li2AlMo
1.0
-1.325 2.347 5.003
1.325 -2.347 5.003
1.325 2.347 -5.003
Li Al Mo
2 1 1
direct
0.239 0.239 0.000
0.761 0.761 0.000
0.000 0.500 0.500
0.500 0.000 0.500
```

Computed properties:
DFT total energy in eV per atom: -4.48
Calculated formation energy in eV per atom: 0.1154
DOS at the Fermi energy in states/eV/cell: 2.29
Theoretical density in Mg/m³: 3.65
Size of the total moment in Bohr magnetons per cell: 0.00
V in Å³ per atom: 15.55

Density functional theory data (PBE-GGA) for a relaxed structure of PmTaS4.

```
PmTaS4
1.0
4.015 -6.854 0.000
4.015 6.854 0.000
-3.656 0.000 4.963
Pm Ta S
2 2 8
direct
0.131 0.869 0.750
0.869 0.131 0.250
0.415 0.585 0.250
0.585 0.415 0.750
0.162 0.576 0.371
0.221 0.288 0.772
0.288 0.221 0.272
0.424 0.838 0.129
0.576 0.162 0.871
0.712 0.779 0.728
0.779 0.712 0.228
0.838 0.424 0.629
```

Computed properties:
DFT total energy in eV per atom: -6.86
Theoretical density in Mg/m³: 5.52
Uncorrected formation energy in meV per atom: -1340
Size of the total moment in Bohr magnetons per cell: 0.00
V in Å³ per atom: 22.76

Density functional theory data (PBE-GGA) for a relaxed structure of Rb2PtPb.

```
Rb2PtPb
1.0
4.130 -2.385 0.000
4.130 2.385 0.000
-2.745 0.000 9.514
Rb Pt Pb
2 1 1
direct
0.000 0.000 0.000
0.174 0.174 0.524
0.754 0.754 0.262
0.420 0.420 0.262
```

Computed properties:
DFT total energy in eV per atom: -3.06
Calculated formation energy in eV per atom: -0.1429
DOS at the Fermi energy in states/eV/cell: 1.80
Theoretical density in Mg/m³: 5.08
Size of the total moment in Bohr magnetons per cell: 0.00
V in Å³ per atom: 46.87

Density functional theory data (PBE-GGA) for a relaxed structure of TbGdThSc.

```
TbGdThSc
1.0
0.000 3.928 3.928
3.928 0.000 3.928
3.928 3.928 0.000
Tb Gd Th Sc
1 1 1 1
direct
0.000 0.000 0.000
0.750 0.750 0.750
0.500 0.500 0.500
0.250 0.250 0.250
```

Computed properties:
DFT total energy in eV per atom: -7.99
Calculated formation energy in eV per atom: 0.1263
DOS at the Fermi energy in states/eV/cell: 7.52
Theoretical density in Mg/m³: 8.13
Size of the total moment in Bohr magnetons per cell: 7.49
V in Å³ per atom: 30.30

Density functional theory data (PBE-GGA) for a relaxed structure of Ca2C.

```
Ca2C
1.0
-1.599 1.599 13.367
1.599 -1.599 13.367
1.599 1.599 -13.367
Ca C
4 2
direct
0.322 0.572 0.750
0.428 0.678 0.750
0.572 0.322 0.250
0.678 0.428 0.250
0.125 0.875 0.250
0.875 0.125 0.750
```

Computed properties:
DFT total energy in eV per atom: -3.85
Calculated formation energy in eV per atom: 0.5550
Offset from the most stable computed form in meV per atom: 521
DOS at the Fermi energy in states/eV/cell: 4.69
Theoretical density in Mg/m³: 2.24
Size of the total moment in Bohr magnetons per cell: 0.00
V in Å³ per atom: 22.77

Density functional theory data (PBE-GGA) for a relaxed structure of Tl12HgBi6.

```
Tl12HgBi6
1.0
-5.443 5.443 5.443
5.443 -5.443 5.443
5.443 5.443 -5.443
Tl Hg Bi
12 1 6
direct
0.076 0.262 0.814
0.186 0.448 0.262
0.186 0.924 0.738
0.262 0.186 0.448
0.262 0.814 0.076
0.448 0.262 0.186
0.552 0.738 0.814
0.738 0.186 0.924
0.738 0.814 0.552
0.814 0.076 0.262
0.814 0.552 0.738
0.924 0.738 0.186
0.000 0.000 0.000
0.140 0.500 0.640
0.360 0.860 0.500
0.500 0.360 0.860
0.500 0.640 0.140
0.640 0.140 0.500
0.860 0.500 0.360
```

Computed properties:
DFT total energy in eV per atom: -2.71
Calculated formation energy in eV per atom: 0.0245
Offset from the most stable computed form in meV per atom: 0
DOS at the Fermi energy in states/eV/cell: 7.97
Theoretical density in Mg/m³: 10.06
Size of the total moment in Bohr magnetons per cell: 0.00
V in Å³ per atom: 33.95